KAl2Ru: optimized geometry, PBEsol.

a b c (Å): 4.3918 4.3918 7.2457
angles (deg): 90.00 90.00 90.00
Closest atoms and distances in Å follow each position.
Space group I4/mmm (No. 139)
Inequivalent atoms, fractional coordinates:
K (0.0000, 0.0000, 0.0000)  8 Al 2.85, 4 Ru 3.11
Al (0.0000, 0.5000, 0.2500)  4 K 2.85, 4 Ru 2.85, 4 Al 3.11
Ru (0.0000, 0.0000, 0.5000)  8 Al 2.85, 4 K 3.11

Values from the calculation:
E_form, eV per atom: 0.5584
Spin magnetization, μB/cell: 0.00
Theoretical density, g cm⁻³: 4.6
N(E_F), states/eV/atom: 0.49